This record from the Alexandria database describes a geometry-optimized KFe2PdF structure. The functional is PBE with a Hubbard U.

Output
As for the crystal system: tetragonal. The calculation puts the electronic total energy at -3.80 eV/atom. For the total magnetization, the calculation gives 1.60 μB/atom.

abc: 4.9255 4.9255 5.3393
angles: 90.00 90.00 90.00
Element x y z (fractional)
1 K 0.0000 0.0000 0.0000
2 Fe 0.0000 0.5000 0.5000
3 Fe 0.5000 0.0000 0.5000
4 Pd 0.5000 0.5000 0.5000
5 F 0.5000 0.5000 0.0000